Material: MnTc2O8
Method: DFT, PBE+U
State: optimized geometry

It has space group C2/m (No. 12), with a = 13.6658 Å, b = 5.9410 Å, c = 5.4010 Å, α = 90.00°, β = 96.56° and γ = 90.00°. Symmetry generates all atoms from Mn at (0.0000, 0.0000, 0.0000), Tc at (0.1489, 0.0000, 0.6305), O at (0.0980, 0.0000, 0.3138), O at (0.1052, 0.2287, 0.7888) and O at (0.2249, 0.5000, 0.3492).

The value obtained for the total magnetic moment is 0.455 μB per atom. Its uncorrected energy is -7.54 eV/atom.